Material: Ho3AsSe6
Method: DFT, PBE-GGA
State: optimized geometry

- Spin magnetization: 0.000 μB/f.u.
- VASP energy: -106.06 eV for the cell shown

Cell and atoms, written as extended XYZ:
```
20
Lattice="5.505 -6.913 0.000 5.505 6.913 0.000 0.000 0.000 6.944" Properties=species:S:1:pos:R:3 pbc="T T T"
Ho 5.505 5.586 3.472
Ho 3.504 1.377 2.769
Ho 3.504 -1.377 6.241
Ho 7.505 1.377 2.769
Ho 7.505 -1.377 6.241
Ho 5.505 -5.586 0.000
As 5.505 2.466 6.083
As 5.505 -2.466 2.611
Se 3.704 3.618 4.813
Se 1.816 0.435 4.873
Se 1.816 -0.435 1.401
Se 5.505 3.213 1.702
Se 7.305 3.618 4.813
Se 5.505 0.168 4.436
Se 5.505 -0.168 0.965
Se 3.704 -3.618 1.341
Se 5.505 -3.213 5.174
Se 9.193 0.435 4.873
Se 9.193 -0.435 1.401
Se 7.305 -3.618 1.341
```